No. 1
{
  "formula": "InAgF5",
  "functional": "PBE-GGA",
  "state": "relaxed",
  "spacegroup": "Immm, No. 71",
  "formation_energy_uncorrected_mev_per_atom": -1859,
  "dft_energy_ev_per_atom": -3.9944,
  "lattice_angstrom": [[-4.035, 0.696, 0.639], [-3.169, -4.548, -1.620], [-1.821, -2.634, 4.806]],
  "species": ["Ag", "F", "F", "In", "F", "F", "F"],
  "frac_coords": [[0.500, 0.500, 0.500], [0.253, 0.747, 0.747], [0.500, 0.000, 0.000], [0.000, 0.000, 0.000], [0.000, 0.305, 0.695], [0.000, 0.695, 0.305], [0.747, 0.253, 0.253]]
}


No. 2
{
  "formula": "Cs2NaHg",
  "functional": "PBE-GGA",
  "state": "relaxed",
  "e_above_lowest_polymorph_mev_per_atom": 94,
  "spacegroup": "R3m, No. 160",
  "e_form_mev_per_atom": -22,
  "dft_energy_ev_per_atom": -0.8541,
  "lattice_angstrom": [[5.136, 0.000, 0.000], [2.568, 4.448, 0.000], [2.568, 1.483, 11.504]],
  "species": ["Na", "Hg", "Cs", "Cs"],
  "frac_coords": [[0.500, 0.500, 0.499], [0.666, 0.666, 0.001], [0.262, 0.262, 0.214], [0.071, 0.071, 0.786]]
}


No. 3
{
  "formula": "CaMn2Fe",
  "functional": "PBE-GGA",
  "state": "relaxed",
  "e_above_lowest_polymorph_mev_per_atom": 106,
  "spacegroup": "Pm, No. 6",
  "e_form_mev_per_atom": 451,
  "dft_energy_ev_per_atom": -6.7501,
  "lattice_angstrom": [[-2.281, -0.306, 2.359], [1.602, -2.048, 1.283], [4.838, 2.846, 5.046]],
  "species": ["Ca", "Mn", "Fe", "Mn"],
  "frac_coords": [[0.000, 0.489, 0.512], [0.500, 0.330, 0.169], [0.500, 0.678, 0.823], [0.000, 0.003, 0.996]]
}


No. 4
{
  "formula": "V8Ga2H3",
  "functional": "PBE-GGA",
  "state": "relaxed",
  "spacegroup": "C2/m, No. 12",
  "dft_energy_ev_per_atom": -6.7713,
  "lattice_angstrom": [[4.643, 0.000, 0.116], [0.000, 5.294, 0.000], [-1.746, -2.647, 6.071]],
  "species": ["V", "V", "H", "V", "V", "V", "Ga", "H", "V", "V", "H", "Ga", "V"],
  "frac_coords": [[0.655, 0.662, 0.875], [0.345, 0.786, 0.125], [0.500, 0.000, 0.000], [0.345, 0.338, 0.125], [0.915, 0.655, 0.309], [0.655, 0.214, 0.875], [0.483, 0.759, 0.518], [0.000, 0.839, 0.000], [0.087, 0.877, 0.755], [0.085, 0.345, 0.691], [0.000, 0.161, 0.000], [0.517, 0.241, 0.482], [0.913, 0.123, 0.245]]
}


No. 5
{
  "formula": "Pr2ErSn",
  "functional": "PBE-GGA",
  "state": "relaxed",
  "e_above_lowest_polymorph_mev_per_atom": 60,
  "spacegroup": "P4/mmm, No. 123",
  "e_form_mev_per_atom": -365,
  "dft_energy_ev_per_atom": -4.8959,
  "lattice_angstrom": [[-1.959, -0.555, -3.801], [1.531, -4.026, -0.201], [-5.495, -2.247, 3.161]],
  "species": ["Sn", "Pr", "Pr", "Er"],
  "frac_coords": [[0.500, 0.500, 0.500], [0.000, 0.000, 0.732], [0.000, 0.000, 0.268], [0.500, 0.500, 0.000]]
}


No. 6
{
  "formula": "LaZrMn2",
  "functional": "PBE-GGA",
  "state": "relaxed",
  "e_above_lowest_polymorph_mev_per_atom": 46,
  "spacegroup": "P4mm, No. 99",
  "e_form_mev_per_atom": 203,
  "dft_energy_ev_per_atom": -7.7505,
  "lattice_angstrom": [[-1.197, 2.801, -0.629], [-2.129, -0.410, 2.229], [5.222, 3.496, 5.630]],
  "species": ["Mn", "Mn", "Zr", "La"],
  "frac_coords": [[0.000, 0.000, 0.069], [0.500, 0.500, 0.208], [0.000, 0.000, 0.432], [0.500, 0.500, 0.792]]
}